# 1
Here is crystalline Ba2FeBrO3 at its relaxed geometry from Alexandria via LeMat-Bulk. Energies are from GGA+U.

abc: 4.125 4.125 16.599
angles: 90.00 90.00 90.00
Element x y z (fractional)
Ba  0.000  0.500  0.680
Ba  0.500  0.000  0.090
Ba  0.500  0.000  0.320
Ba  0.000  0.500  0.910
Fe  0.000  0.500  0.190
Fe  0.500  0.000  0.810
Br  0.000  0.500  0.410
Br  0.500  0.000  0.590
O  0.000  0.500  0.075
O  0.500  0.500  0.789
O  0.000  0.000  0.789
O  0.500  0.500  0.211
O  0.000  0.000  0.211
O  0.500  0.000  0.925

Properties
Final energy   -5.89 eV per atom
Magnetic moment   5.0 μB per formula unit
Space-group type   P4/nmm, No. 129

# 2
Here is crystalline BaFeBrO2 at its relaxed geometry from Alexandria via LeMat-Bulk. Energies are from GGA+U.

abc: 5.503 5.916 7.701
angles: 112.59 90.00 90.00
Element x y z (fractional)
Ba  0.250  0.622  0.244
Ba  0.750  0.378  0.756
Fe  0.250  0.992  0.984
Fe  0.750  0.008  0.016
Br  0.750  0.756  0.511
Br  0.250  0.244  0.489
O  0.500  0.215  0.000
O  0.000  0.785  0.000
O  0.500  0.785  0.000
O  0.000  0.215  0.000

Properties
D(E_F)   0.000 states/eV per atom
Final energy   -5.71 eV per atom
Magnetic moment   3.0 μB per formula unit
Space-group type   Cmcm, No. 63